Compound: ZrNbHgI
Source: Alexandria
Functional: GGA-PBE
Structure: optimized geometry

Calculated values
The calculation puts the spin magnetization at 0.0 μB/f.u. The relative energy among the computed polymorphs comes out at 0 meV/atom. Its space group is No. 1.

Unit cell a=3.394 b=3.394 c=9.904 alpha=85.52 beta=85.27 gamma=68.14
Positions (direct):
Zr  0.000  0.000  0.000
Nb  0.355  0.360  0.212
Hg  0.689  0.697  0.425
I  0.687  0.682  0.780

---

Compound: ZrNbHgI
Source: Alexandria
Functional: GGA-PBE
Structure: optimized geometry

Calculated values
The calculation puts the spin magnetization at 0.0 μB/f.u. The relative energy among the computed polymorphs comes out at 2 meV/atom. Its space group is No. 8.

Unit cell a=3.394 b=3.394 c=10.298 alpha=102.81 beta=102.81 gamma=67.82
Positions (direct):
Zr  0.000  0.000  0.000
Nb  0.712  0.712  0.211
Hg  0.450  0.450  0.424
I  0.245  0.245  0.782

---

Compound: NdHg3I9
Source: Alexandria
Functional: GGA-PBE
Structure: optimized geometry

Calculated values
The calculation puts the spin magnetization at 0.0 μB/f.u. Its space group is No. 9.

Unit cell a=11.721 b=11.721 c=14.962 alpha=124.34 beta=124.34 gamma=54.07
Positions (direct):
Nd  0.233  0.767  0.500
Nd  0.767  0.233  0.000
Hg  0.197  0.344  0.786
Hg  0.344  0.197  0.286
Hg  0.566  0.709  0.335
Hg  0.709  0.566  0.835
Hg  0.757  0.976  0.178
Hg  0.976  0.757  0.678
I  0.022  0.507  0.929
I  0.068  0.933  0.675
I  0.108  0.173  0.069
I  0.173  0.108  0.569
I  0.228  0.480  0.463
I  0.249  0.562  0.796
I  0.306  0.696  0.295
I  0.480  0.228  0.963
I  0.507  0.022  0.429
I  0.548  0.847  0.971
I  0.562  0.249  0.296
I  0.578  0.619  0.620
I  0.619  0.578  0.120
I  0.696  0.306  0.795
I  0.758  0.935  0.787
I  0.847  0.548  0.471
I  0.933  0.068  0.175
I  0.935  0.758  0.287

---

Compound: NdHgI3
Source: Alexandria
Functional: GGA-PBE
Structure: optimized geometry

Calculated values
The calculation puts the spin magnetization at 0.0 μB/f.u. The relative energy among the computed polymorphs comes out at 0 meV/atom. Its space group is No. 155.

Unit cell a=9.607 b=9.607 c=9.607 alpha=51.81 beta=51.81 gamma=51.81
Positions (direct):
Nd  0.167  0.167  0.167
Nd  0.833  0.833  0.833
Hg  0.390  0.390  0.390
Hg  0.610  0.610  0.610
I  0.080  0.581  0.081
I  0.081  0.080  0.581
I  0.419  0.920  0.919
I  0.581  0.081  0.080
I  0.919  0.419  0.920
I  0.920  0.919  0.419

---

Compound: NdHg2I8
Source: Alexandria
Functional: GGA-PBE
Structure: optimized geometry

Calculated values
The calculation puts the spin magnetization at 1.0 μB/f.u. Its space group is No. 12.

Unit cell a=8.917 b=8.917 c=7.412 alpha=97.70 beta=97.70 gamma=91.09
Positions (direct):
Nd  0.000  0.000  0.000
Hg  0.215  0.215  0.676
Hg  0.785  0.785  0.324
I  0.074  0.722  0.213
I  0.222  0.222  0.288
I  0.278  0.926  0.787
I  0.446  0.446  0.784
I  0.554  0.554  0.216
I  0.722  0.074  0.213
I  0.778  0.778  0.712
I  0.926  0.278  0.787

---

Compound: Nd2HgI2
Source: Alexandria
Functional: GGA-PBE
Structure: optimized geometry

Calculated values
The calculation puts the spin magnetization at 0.0 μB/f.u. Its space group is No. 166.

Unit cell a=12.408 b=12.408 c=12.408 alpha=19.84 beta=19.84 gamma=19.84
Positions (direct):
Nd  0.112  0.112  0.112
Nd  0.888  0.888  0.888
Hg  0.500  0.500  0.500
I  0.278  0.278  0.278
I  0.722  0.722  0.722

---

Compound: Nd3Hg2I8
Source: Alexandria
Functional: GGA-PBE
Structure: optimized geometry

Calculated values
The calculation puts the spin magnetization at 1.1 μB/f.u. Its space group is No. 12.

Unit cell a=11.507 b=11.507 c=7.885 alpha=90.77 beta=90.77 gamma=45.10
Positions (direct):
Nd  0.000  0.000  0.000
Nd  0.284  0.716  0.500
Nd  0.716  0.284  0.500
Hg  0.251  0.251  0.010
Hg  0.749  0.749  0.990
I  0.083  0.083  0.337
I  0.164  0.669  0.168
I  0.331  0.836  0.832
I  0.401  0.401  0.652
I  0.599  0.599  0.348
I  0.669  0.164  0.168
I  0.836  0.331  0.832
I  0.917  0.917  0.663

---

Compound: NdHgI3
Source: Alexandria
Functional: GGA-PBE
Structure: optimized geometry

Calculated values
The calculation puts the spin magnetization at 0.0 μB/f.u. The relative energy among the computed polymorphs comes out at 68 meV/atom. Its space group is No. 221.

Unit cell a=6.224 b=6.224 c=6.224 alpha=90.00 beta=90.00 gamma=90.00
Positions (direct):
Nd  0.000  0.000  0.000
Hg  0.500  0.500  0.500
I  0.000  0.000  0.500
I  0.000  0.500  0.000
I  0.500  0.000  0.000

---

Compound: Nd4HgI5
Source: Alexandria
Functional: GGA-PBE
Structure: optimized geometry

Calculated values
The calculation puts the spin magnetization at 0.0 μB/f.u. Its space group is No. 12.

Unit cell a=10.021 b=10.021 c=9.324 alpha=101.71 beta=101.71 gamma=24.83
Positions (direct):
Nd  0.001  0.001  0.230
Nd  0.342  0.342  0.926
Nd  0.658  0.658  0.074
Nd  0.999  0.999  0.770
Hg  0.500  0.500  0.000
I  0.168  0.168  0.334
I  0.171  0.171  0.820
I  0.500  0.500  0.500
I  0.829  0.829  0.180
I  0.832  0.832  0.666

---

Compound: NdHgI6
Source: Alexandria
Functional: GGA-PBE
Structure: optimized geometry

Calculated values
The calculation puts the spin magnetization at 0.0 μB/f.u. Its space group is No. 2.

Unit cell a=7.275 b=7.728 c=8.139 alpha=111.98 beta=95.47 gamma=114.47
Positions (direct):
Nd  0.000  0.000  0.000
Hg  0.500  0.000  0.500
I  0.221  0.803  0.756
I  0.254  0.161  0.424
I  0.260  0.463  0.033
I  0.740  0.537  0.967
I  0.746  0.839  0.576
I  0.779  0.197  0.244

---

Compound: NdHgI
Source: Alexandria
Functional: GGA-PBE
Structure: optimized geometry

Calculated values
The calculation puts the spin magnetization at 0.0 μB/f.u. Its space group is No. 12.

Unit cell a=4.478 b=4.478 c=12.654 alpha=91.15 beta=91.15 gamma=59.96
Positions (direct):
Nd  0.008  0.008  0.191
Nd  0.992  0.992  0.809
Hg  0.335  0.335  0.053
Hg  0.665  0.665  0.947
I  0.320  0.320  0.653
I  0.680  0.680  0.347

---

Compound: NdHgIO
Source: Alexandria
Functional: GGA-PBE
Structure: optimized geometry

Calculated values
The calculation puts the spin magnetization at 0.0 μB/f.u. Its space group is No. 129.

Unit cell a=4.156 b=4.156 c=13.640 alpha=90.00 beta=90.00 gamma=90.00
Positions (direct):
Nd  0.250  0.250  0.083
Nd  0.750  0.750  0.917
Hg  0.250  0.750  0.500
Hg  0.750  0.250  0.500
I  0.250  0.250  0.777
I  0.750  0.750  0.223
O  0.250  0.750  0.000
O  0.750  0.250  0.000

---

| no. | VASP energy (eV/atom) | E_form (uncorrected) (meV per atom) |
| --- | --- | --- |
| 1 | -5.07 | 51.2 |
| 2 | -5.06 | 53.6 |
| 3 | -2.10 | -588.2 |
| 4 | -3.03 | -1083.9 |
| 5 | -2.22 | -601.3 |
| 6 | -3.54 | -954.8 |
| 7 | -3.23 | -1133.2 |
| 8 | -2.96 | -1015.7 |
| 9 | -3.79 | -1075.3 |
| 10 | -2.46 | -659.1 |
| 11 | -3.03 | -821.9 |
| 12 | -4.85 | -1957.2 |